Entry from Alexandria via LeMat-Bulk: crystalline In3CoC at its relaxed geometry (GGA-PBEsol).

abc: 4.820 4.820 4.820
angles: 90.00 90.00 90.00
Fractional positions:
C 0.500 0.500 0.500
Co 0.000 0.000 0.000
In 0.000 0.500 0.000
In 0.000 0.000 0.500
In 0.500 0.000 0.000

Results
Symmetry ... Pm-3m, No. 221
Energy ... -0.2930 Ry per atom
Energy of formation ... 1279.4 meV/atom

=====

Entry from Alexandria via LeMat-Bulk: crystalline CoRe2Ni at its relaxed geometry (GGA-PBEsol).

abc: 2.608 4.170 4.525
angles: 90.00 90.00 90.00
Fractional positions:
Re 0.000 0.000 0.047
Re 0.000 0.500 0.703
Co 0.500 0.000 0.531
Ni 0.500 0.500 0.219

Results
Symmetry ... Pmm2, No. 25
Energy ... -0.7503 Ry per atom
Energy of formation ... -68.7 meV/atom

=====

Calculated volume values, unit Å³ per atom, following the record order: 22.4; 12.3.